No. 1
{
  "formula": "AcGdCoCu",
  "functional": "PBE",
  "state": "optimized geometry",
  "e_form_ev_per_atom": 0.000,
  "dos_at_fermi_per_ev_atom": 1.16,
  "vol_a3_per_cell": 92.3,
  "lattice_angstrom": [[5.0722, 0.0000, 0.0000], [2.5361, 4.3926, 0.0000], [2.5361, 1.4642, 4.1414]],
  "species": ["Cu", "Ac", "Gd", "Co"],
  "fractional_positions": [[0.0000, 0.0000, 0.0000], [0.2500, 0.2500, 0.2500], [0.7500, 0.7500, 0.7500], [0.5000, 0.5000, 0.5000]]
}



No. 2
{
  "formula": "AcCoCuGe2",
  "functional": "PBE",
  "state": "optimized geometry",
  "e_form_ev_per_atom": -0.450,
  "dos_at_fermi_per_ev_atom": 0.82,
  "vol_a3_per_cell": 95.4,
  "lattice_angstrom": [[4.2913, 0.0000, 0.0000], [0.0000, 4.2913, 0.0000], [-2.1457, -2.1457, 5.1781]],
  "species": ["Co", "Cu", "Ge", "Ge", "Ac"],
  "fractional_positions": [[0.7500, 0.2500, 0.5000], [0.2500, 0.7500, 0.5000], [0.6360, 0.6360, 0.2720], [0.3640, 0.3640, 0.7280], [0.0000, 0.0000, 0.0000]]
}



Which formula does entry 1 have? AcGdCoCu